Crystalline SmSc2AlPd4 at its relaxed geometry, computed with PBE-GGA.

Values from the calculation:
- E_tot: -6.09 eV/atom
- Calculated density: 7.7 g/cm3
- Energy of formation: -6.832 eV/f.u.
- Density of states at the Fermi level: 0.77 states/eV/atom

Lattice parameters (Å, degrees): 4.6060 4.6060 8.5967 74.46 74.46 60.00
Closest atoms and distances in Å follow each position.
Element x y z (fractional)
Sm (0.0000, 0.0000, 0.0000)  8 Pd 3.07-3.20
Sc (0.7588, 0.7588, 0.7236)  7 Pd 2.72-2.82
Sc (0.2412, 0.2412, 0.2764)  7 Pd 2.72-2.82
Al (0.5000, 0.5000, 0.5000)  8 Pd 2.55-2.80
Pd (0.3960, 0.3960, 0.8121)  1 Al 2.55, 3 Sc 2.76
Pd (0.8696, 0.8696, 0.3912)  4 Sc 2.72-2.82, 3 Al 2.80
Pd (0.1304, 0.1304, 0.6088)  4 Sc 2.72-2.82, 3 Al 2.80
Pd (0.6040, 0.6040, 0.1879)  1 Al 2.55, 3 Sc 2.76